Record 1
# Rb2SrPtF6

Rb2SrPtF6 after structural relaxation (PBE-GGA, Alexandria).

The space group is I4/mmm (No. 139) and the conventional cell measures 6.535, 6.535 and 9.220 Å, with angles of 90.00, 90.00 and 90.00 degrees. Symmetry generates all atoms from Rb at (0.000, 0.500, 0.250), Sr at (0.000, 0.000, 0.000), Pt at (0.000, 0.000, 0.500), F at (0.000, 0.000, 0.257) and F at (0.243, 0.243, 0.500).

The formation energy from raw total energies comes out at -2.46 eV/atom. The final energy comes out at -0.33436 Ry/atom. For the density of states at the Fermi level, the calculation gives 0.0 states/eV/cell.

---

Record 2
# Li4ZrAs

Li4ZrAs after structural relaxation (PBE-GGA, Alexandria).

The space group is F-43m (No. 216) and the conventional cell measures 7.388, 7.388 and 7.388 Å, with angles of 90.00, 90.00 and 90.00 degrees. Symmetry generates all atoms from Li at (0.124, 0.124, 0.376), Zr at (0.000, 0.000, 0.000) and As at (0.250, 0.250, 0.750).

The final energy comes out at -0.24769 Ry/atom. For the density of states at the Fermi level, the calculation gives 14.2 states/eV/cell.

---

Record 3
# SrTb2In2Hg2

SrTb2In2Hg2 after structural relaxation (PBE-GGA, Alexandria).

The space group is R-3m (No. 166, hexagonal axes) and the conventional cell measures 5.0247, 5.0247 and 28.6029 Å, with angles of 90.00, 90.00 and 120.00 degrees. Symmetry generates all atoms from Sr at (0.0000, 0.0000, 0.0000), Tb at (0.0000, 0.0000, 0.1335), In at (0.0000, 0.0000, 0.2569) and Hg at (0.0000, 0.0000, 0.4355).

The final energy comes out at -0.20386 Ry/atom. For the density of states at the Fermi level, the calculation gives 7.4 states/eV/cell.